The following is a PBE calculation of crystalline Tb2YMg at its relaxed geometry, from Alexandria.

Structure (POSCAR):
```
Tb2YMg
1.0
-3.275 1.045 -0.843
-1.144 -0.282 -3.338
-5.323 -10.044 0.795
Tb Mg Y
2 1 1
Direct
0.253 0.253 0.241 Tb
0.747 0.747 0.759 Tb
0.000 0.000 0.000 Mg
0.500 0.500 0.500 Y
```

Output
Its density of states at the Fermi level is 1.1551 states/eV/atom. For the spin magnetization, the calculation gives 0.000 μB per cell. The value obtained for the formation enthalpy at 0 K is 0.022 eV/atom. As for the total energy: -4.3080 eV per atom. For the distance to the lowest polymorph of the same formula, the calculation gives 57 meV/atom.